<a>
Compound: Na3PtRh
Source: the Alexandria database
Functional: PBE
Structure: optimized geometry

a b c (Å): 5.3496 5.3496 5.3496
angles (deg): 90.00 90.00 90.00
Closest atoms and distances in Å follow each position.
Space group Pm-3m (No. 221)
Symmetry-distinct sites (fractional):
Na1 0.0000 0.0000 0.5000 (multiplicity 3)  2 Pt 2.67
Pt1 0.0000 0.0000 0.0000 (multiplicity 1)  6 Na 2.67
Rh1 0.5000 0.5000 0.5000 (multiplicity 1)  12 Na 3.78

Properties
The calculation puts the density of states at the Fermi level at 6.0 states/eV per cell.



<b>
Compound: Na3PtRh
Source: the Alexandria database
Functional: PBE
Structure: optimized geometry

a b c (Å): 5.0899 5.0899 5.0899
angles (deg): 90.00 90.00 90.00
Closest atoms and distances in Å follow each position.
Space group Pm-3m (No. 221)
Symmetry-distinct sites (fractional):
Na1 0.0000 0.0000 0.5000 (multiplicity 3)  2 Rh 2.54
Pt1 0.5000 0.5000 0.5000 (multiplicity 1)  12 Na 3.60
Rh1 0.0000 0.0000 0.0000 (multiplicity 1)  6 Na 2.54

Properties
The calculation puts the density of states at the Fermi level at 4.9 states/eV per cell.



Most stable one: <a>, least stable one: <b>.



<a>
Compound: NaPt2Rh2
Source: the Alexandria database
Functional: PBE
Structure: optimized geometry

a b c (Å): 7.8554 7.8554 2.7160
angles (deg): 90.00 90.00 90.00
Closest atoms and distances in Å follow each position.
Space group P4/mbm (No. 127)
Symmetry-distinct sites (fractional):
Na1 0.0000 0.0000 0.0000 (multiplicity 2)  2 Na 2.72
Pt1 0.1813 0.3187 0.5000 (multiplicity 4)  6 Rh 2.62-2.76, 2 Pt 2.72
Rh1 0.1175 0.6175 0.0000 (multiplicity 4)  3 Rh 2.61-2.72, 6 Pt 2.62-2.76

Properties
The calculation puts the density of states at the Fermi level at 14.3 states/eV per cell.



<b>
Compound: NaPt2Rh2
Source: the Alexandria database
Functional: PBE
Structure: optimized geometry

a b c (Å): 7.8599 7.8599 2.7209
angles (deg): 90.00 90.00 90.00
Closest atoms and distances in Å follow each position.
Space group P4/mbm (No. 127)
Symmetry-distinct sites (fractional):
Na1 0.0000 0.0000 0.0000 (multiplicity 2)  2 Na 2.72
Pt1 0.1230 0.3770 0.0000 (multiplicity 4)  6 Rh 2.62-2.75, 3 Pt 2.72-2.74
Rh1 0.1759 0.6759 0.5000 (multiplicity 4)  6 Pt 2.62-2.75, 2 Rh 2.72

Properties
The calculation puts the density of states at the Fermi level at 16.4 states/eV per cell.



Most stable one: <a>, least stable one: <b>.



<a>
Compound: NaPtRh3
Source: the Alexandria database
Functional: PBE
Structure: optimized geometry

a b c (Å): 4.8660 4.8660 4.8660
angles (deg): 90.00 90.00 90.00
Closest atoms and distances in Å follow each position.
Space group Pm-3m (No. 221)
Symmetry-distinct sites (fractional):
Na1 0.0000 0.0000 0.0000 (multiplicity 1)  12 Rh 3.44
Pt1 0.5000 0.5000 0.5000 (multiplicity 1)  6 Rh 2.43
Rh1 0.0000 0.5000 0.5000 (multiplicity 3)  2 Pt 2.43

Properties
The calculation puts the density of states at the Fermi level at 6.4 states/eV per cell.



<b>
Compound: NaPtRh3
Source: the Alexandria database
Functional: PBE
Structure: optimized geometry

a b c (Å): 4.4448 4.4448 4.4448
angles (deg): 90.00 90.00 90.00
Closest atoms and distances in Å follow each position.
Space group Pm-3m (No. 221)
Symmetry-distinct sites (fractional):
Na1 0.0000 0.0000 0.0000 (multiplicity 1)  6 Rh 2.22
Pt1 0.5000 0.5000 0.5000 (multiplicity 1)  12 Rh 3.14
Rh1 0.0000 0.0000 0.5000 (multiplicity 3)  2 Na 2.22

Properties
The calculation puts the density of states at the Fermi level at 6.1 states/eV per cell.



Most stable one: <a>, least stable one: <b>.



<a>
Compound: Na2PtRh
Source: the Alexandria database
Functional: PBE
Structure: optimized geometry

a b c (Å): 6.5399 6.5399 6.5399
angles (deg): 90.00 90.00 90.00
Closest atoms and distances in Å follow each position.
Space group Fm-3m (No. 225)
Symmetry-distinct sites (fractional):
Na1 0.2500 0.2500 0.2500 (multiplicity 8)  4 Pt 2.83, 4 Rh 2.83
Pt1 0.0000 0.0000 0.0000 (multiplicity 4)  8 Na 2.83
Rh1 0.0000 0.0000 0.5000 (multiplicity 4)  8 Na 2.83

Properties
The calculation puts the density of states at the Fermi level at 11.4 states/eV per cell.



<b>
Compound: Na2PtRh
Source: the Alexandria database
Functional: PBE
Structure: optimized geometry

a b c (Å): 7.9385 7.9385 5.0579
angles (deg): 90.00 90.00 90.00
Closest atoms and distances in Å follow each position.
Space group I-42d (No. 122)
Symmetry-distinct sites (fractional):
Na1 0.2480 0.7500 0.1250 (multiplicity 8)  2 Na 2.53
Pt1 0.0000 0.0000 0.0000 (multiplicity 4)  2 Rh 2.53
Rh1 0.0000 0.0000 0.5000 (multiplicity 4)  2 Pt 2.53

Properties
The calculation puts the density of states at the Fermi level at 16.9 states/eV per cell.



Most stable one: <a>, least stable one: <b>.



<a>
Compound: NaRu3Pt
Source: the Alexandria database
Functional: PBE
Structure: optimized geometry

a b c (Å): 4.8759 4.8759 4.8759
angles (deg): 90.00 90.00 90.00
Closest atoms and distances in Å follow each position.
Space group Pm-3m (No. 221)
Symmetry-distinct sites (fractional):
Na1 0.0000 0.0000 0.0000 (multiplicity 1)  12 Ru 3.45
Ru1 0.0000 0.5000 0.5000 (multiplicity 3)  2 Pt 2.44
Pt1 0.5000 0.5000 0.5000 (multiplicity 1)  6 Ru 2.44

Properties
The calculation puts the density of states at the Fermi level at 8.8 states/eV per cell.



<b>
Compound: NaRu3Pt
Source: the Alexandria database
Functional: PBE
Structure: optimized geometry

a b c (Å): 4.3653 4.3653 4.3653
angles (deg): 90.00 90.00 90.00
Closest atoms and distances in Å follow each position.
Space group Pm-3m (No. 221)
Symmetry-distinct sites (fractional):
Na1 0.0000 0.0000 0.0000 (multiplicity 1)  6 Ru 2.18
Ru1 0.0000 0.0000 0.5000 (multiplicity 3)  2 Na 2.18
Pt1 0.5000 0.5000 0.5000 (multiplicity 1)  12 Ru 3.09

Properties
The calculation puts the density of states at the Fermi level at 8.2 states/eV per cell.



Most stable one: <a>, least stable one: <b>.



<a>
Compound: Na3RuPt
Source: the Alexandria database
Functional: PBE
Structure: optimized geometry

a b c (Å): 5.3950 5.3950 5.3950
angles (deg): 90.00 90.00 90.00
Closest atoms and distances in Å follow each position.
Space group Pm-3m (No. 221)
Symmetry-distinct sites (fractional):
Na1 0.0000 0.0000 0.5000 (multiplicity 3)  2 Ru 2.70
Ru1 0.0000 0.0000 0.0000 (multiplicity 1)  6 Na 2.70
Pt1 0.5000 0.5000 0.5000 (multiplicity 1)  12 Na 3.81

Properties
The calculation puts the density of states at the Fermi level at 3.7 states/eV per cell.



<b>
Compound: Na3RuPt
Source: the Alexandria database
Functional: PBE
Structure: optimized geometry

a b c (Å): 5.3498 5.3498 5.3498
angles (deg): 90.00 90.00 90.00
Closest atoms and distances in Å follow each position.
Space group Pm-3m (No. 221)
Symmetry-distinct sites (fractional):
Na1 0.0000 0.0000 0.5000 (multiplicity 3)  2 Pt 2.67
Ru1 0.5000 0.5000 0.5000 (multiplicity 1)  12 Na 3.78
Pt1 0.0000 0.0000 0.0000 (multiplicity 1)  6 Na 2.67

Properties
The calculation puts the density of states at the Fermi level at 9.0 states/eV per cell.



Most stable one: <b>, least stable one: <a>.



<a>
Compound: NaRu2Pt
Source: the Alexandria database
Functional: PBE
Structure: optimized geometry

a b c (Å): 6.2449 6.2449 6.2449
angles (deg): 90.00 90.00 90.00
Closest atoms and distances in Å follow each position.
Space group Fm-3m (No. 225)
Symmetry-distinct sites (fractional):
Na1 0.0000 0.0000 0.0000 (multiplicity 4)  8 Ru 2.70
Ru1 0.2500 0.2500 0.2500 (multiplicity 8)  4 Na 2.70, 4 Pt 2.70
Pt1 0.0000 0.0000 0.5000 (multiplicity 4)  8 Ru 2.70

Properties
The calculation puts the density of states at the Fermi level at 22.6 states/eV per cell.



<b>
Compound: NaRu2Pt
Source: the Alexandria database
Functional: PBE
Structure: optimized geometry

a b c (Å): 7.6136 7.6136 5.0154
angles (deg): 90.00 90.00 90.00
Closest atoms and distances in Å follow each position.
Space group I-42d (No. 122)
Symmetry-distinct sites (fractional):
Na1 0.0000 0.0000 0.0000 (multiplicity 4)  2 Pt 2.51
Ru1 0.1967 0.2500 0.6250 (multiplicity 8)  2 Pt 2.50, 2 Ru 2.64
Pt1 0.0000 0.0000 0.5000 (multiplicity 4)  4 Ru 2.50, 2 Na 2.51

Properties
The calculation puts the density of states at the Fermi level at 26.8 states/eV per cell.



Most stable one: <a>, least stable one: <b>.



<a>
Compound: NaPt2S2
Source: the Alexandria database
Functional: PBE
Structure: optimized geometry

a b c (Å): 3.9478 3.9478 11.6818
angles (deg): 90.00 90.00 90.00
Closest atoms and distances in Å follow each position.
Space group I4/mmm (No. 139)
Symmetry-distinct sites (fractional):
Na1 0.0000 0.0000 0.0000 (multiplicity 2)  8 S 3.09
Pt1 0.0000 0.5000 0.2500 (multiplicity 4)  4 S 2.54, 4 Pt 2.79
S1 0.0000 0.0000 0.3871 (multiplicity 4)  4 Pt 2.54, 1 S 2.64

Properties
The calculation puts the density of states at the Fermi level at 6.7 states/eV per cell.



<b>
Compound: NaPt2S2
Source: the Alexandria database
Functional: PBE
Structure: optimized geometry

a b c (Å): 4.6511 4.6511 8.9125
angles (deg): 90.00 90.00 90.00
Closest atoms and distances in Å follow each position.
Space group I4/mmm (No. 139)
Symmetry-distinct sites (fractional):
Na1 0.0000 0.0000 0.0000 (multiplicity 2)  2 Pt 2.90, 8 S 3.22
Pt1 0.0000 0.0000 0.3254 (multiplicity 4)  4 S 2.42
S1 0.0000 0.5000 0.2500 (multiplicity 4)  4 Pt 2.42

Properties
The calculation puts the density of states at the Fermi level at 3.5 states/eV per cell.



Most stable one: <b>, least stable one: <a>.